(1)
La2CuMo | PBE | optimized geometry

a b c (Å): 7.7786 5.1390 3.6158
angles (deg): 85.82 68.38 128.84
Positions (direct):
1 Mo 0.0000 0.5000 0.5000
2 La 0.0000 0.0000 0.0000
3 Cu 0.5000 0.5000 0.0000
4 La 0.5000 0.0000 0.5000

Calculated values
- volume (Å³ per cell) = 95.0
- distance to the lowest polymorph of the same formula (meV/atom) = 28
- raw total energy (eV per atom) = -5.9063
- symmetry = No. 12
- DOS(E_F) (states/eV/f.u.) = 4.9

---

(2)
La2CuMo | PBE | optimized geometry

a b c (Å): 3.5614 3.5614 7.9969
angles (deg): 90.00 90.00 90.00
Positions (direct):
1 Mo 0.0000 0.0000 0.5789
2 Cu 0.5000 0.5000 0.6897
3 La 0.0000 0.0000 0.9087
4 La 0.5000 0.5000 0.3227

Calculated values
- volume (Å³ per cell) = 101.4
- distance to the lowest polymorph of the same formula (meV/atom) = 21
- raw total energy (eV per atom) = -5.9137
- symmetry = No. 99
- DOS(E_F) (states/eV/f.u.) = 4.1

---

Question: Which formula does entry 1 have?
Answer: La2CuMo